The following is a PBE-GGA calculation of a relaxed structure of RbMgGa2Ge2, from Alexandria via LeMat-Bulk.

crystal system	trigonal
M_tot	0.000	μB per formula unit
DFT total energy	-3.0648	eV/atom
V	154.5	Å³/cell
formation energy from the elements	-0.54	eV/f.u.
space group	P-3m1

CIF file:
```
data_RbMgGa2Ge2
_cell_length_a 4.232
_cell_length_b 4.232
_cell_length_c 9.959
_cell_angle_alpha 90.00
_cell_angle_beta 90.00
_cell_angle_gamma 120.00
_space_group_name_H-M_alt 'P 1'
_space_group_IT_number 1
loop_
_space_group_symop_operation_xyz
'x,y,z'
loop_
_atom_site_label
_atom_site_type_symbol
_atom_site_fract_x
_atom_site_fract_y
_atom_site_fract_z
Rb1 Rb 0.000 0.000 0.000
Mg1 Mg 0.000 0.000 0.500
Ga1 Ga 0.333 0.667 0.731
Ga2 Ga 0.667 0.333 0.269
Ge1 Ge 0.333 0.667 0.324
Ge2 Ge 0.667 0.333 0.676
```

The following is a PBE-GGA calculation of a relaxed structure of AcLaZn2In2, from Alexandria via LeMat-Bulk.

crystal system	trigonal
M_tot	0.000	μB per formula unit
DFT total energy	-3.2841	eV/atom
V	163.8	Å³/cell
formation energy from the elements	-2.64	eV/f.u.
space group	P-3m1

CIF file:
```
data_AcLaZn2In2
_cell_length_a 4.843
_cell_length_b 4.843
_cell_length_c 8.062
_cell_angle_alpha 90.00
_cell_angle_beta 90.00
_cell_angle_gamma 120.00
_space_group_name_H-M_alt 'P 1'
_space_group_IT_number 1
loop_
_space_group_symop_operation_xyz
'x,y,z'
loop_
_atom_site_label
_atom_site_type_symbol
_atom_site_fract_x
_atom_site_fract_y
_atom_site_fract_z
Ac1 Ac 0.000 0.000 0.000
La1 La 0.000 0.000 0.500
Zn1 Zn 0.333 0.667 0.711
Zn2 Zn 0.667 0.333 0.289
In1 In 0.333 0.667 0.271
In2 In 0.667 0.333 0.729
```

The following is a PBE-GGA calculation of a relaxed structure of BOF2, from Alexandria via LeMat-Bulk.

crystal system	trigonal
M_tot	2.099	μB per formula unit
DFT total energy	-3.5657	eV/atom
V	142.9	Å³/cell
relative energy among the computed polymorphs	840	meV/atom
space group	R-3m

CIF file:
```
data_BOF2
_cell_length_a 2.742
_cell_length_b 2.742
_cell_length_c 21.945
_cell_angle_alpha 90.00
_cell_angle_beta 90.00
_cell_angle_gamma 120.00
_space_group_name_H-M_alt 'P 1'
_space_group_IT_number 1
loop_
_space_group_symop_operation_xyz
'x,y,z'
loop_
_atom_site_label
_atom_site_type_symbol
_atom_site_fract_x
_atom_site_fract_y
_atom_site_fract_z
B1 B 0.000 0.000 0.000
B2 B 0.333 0.667 0.667
B3 B 0.667 0.333 0.333
O1 O 0.000 0.000 0.500
O2 O 0.333 0.667 0.167
O3 O 0.667 0.333 0.833
F1 F 0.000 0.000 0.376
F2 F 0.000 0.000 0.624
F3 F 0.333 0.667 0.043
F4 F 0.333 0.667 0.291
F5 F 0.667 0.333 0.709
F6 F 0.667 0.333 0.957
```

The following is a PBE-GGA calculation of a relaxed structure of Cd7Pb2, from Alexandria via LeMat-Bulk.

crystal system	trigonal
M_tot	0.000	μB per formula unit
DFT total energy	-1.4927	eV/atom
V	461.7	Å³/cell
formation energy from the elements	0.39	eV/f.u.
space group	R-3m

CIF file:
```
data_Cd7Pb2
_cell_length_a 15.316
_cell_length_b 15.316
_cell_length_c 15.316
_cell_angle_alpha 22.50
_cell_angle_beta 22.50
_cell_angle_gamma 22.50
_space_group_name_H-M_alt 'P 1'
_space_group_IT_number 1
loop_
_space_group_symop_operation_xyz
'x,y,z'
loop_
_atom_site_label
_atom_site_type_symbol
_atom_site_fract_x
_atom_site_fract_y
_atom_site_fract_z
Cd1 Cd 0.000 0.000 0.000
Cd2 Cd 0.000 0.000 0.500
Cd3 Cd 0.000 0.500 0.000
Cd4 Cd 0.110 0.110 0.110
Cd5 Cd 0.113 0.113 0.609
Cd6 Cd 0.113 0.609 0.113
Cd7 Cd 0.223 0.223 0.223
Cd8 Cd 0.391 0.887 0.887
Cd9 Cd 0.500 0.000 0.000
Cd10 Cd 0.609 0.113 0.113
Cd11 Cd 0.777 0.777 0.777
Cd12 Cd 0.887 0.391 0.887
Cd13 Cd 0.887 0.887 0.391
Cd14 Cd 0.890 0.890 0.890
Pb1 Pb 0.351 0.351 0.351
Pb2 Pb 0.460 0.460 0.460
Pb3 Pb 0.540 0.540 0.540
Pb4 Pb 0.649 0.649 0.649
```

The following is a PBE-GGA calculation of a relaxed structure of TaHg, from Alexandria via LeMat-Bulk.

crystal system	hexagonal
M_tot	0.000	μB per formula unit
DFT total energy	-5.6355	eV/atom
V	39.2	Å³/cell
formation energy from the elements	0.88	eV/f.u.
space group	P-6m2

CIF file:
```
data_TaHg
_cell_length_a 3.009
_cell_length_b 3.009
_cell_length_c 4.995
_cell_angle_alpha 90.00
_cell_angle_beta 90.00
_cell_angle_gamma 120.00
_space_group_name_H-M_alt 'P 1'
_space_group_IT_number 1
loop_
_space_group_symop_operation_xyz
'x,y,z'
loop_
_atom_site_label
_atom_site_type_symbol
_atom_site_fract_x
_atom_site_fract_y
_atom_site_fract_z
Ta1 Ta 0.000 0.000 0.000
Hg1 Hg 0.667 0.333 0.500
```

The following is a PBE-GGA calculation of a relaxed structure of NaZr2CuS4, from Alexandria via LeMat-Bulk.

crystal system	orthorhombic
M_tot	0.000	μB per formula unit
DFT total energy	-6.1141	eV/atom
V	304.1	Å³/cell
space group	Cmcm

CIF file:
```
data_NaZr2CuS4
_cell_length_a 6.443
_cell_length_b 6.443
_cell_length_c 13.261
_cell_angle_alpha 90.00
_cell_angle_beta 90.00
_cell_angle_gamma 146.47
_space_group_name_H-M_alt 'P 1'
_space_group_IT_number 1
loop_
_space_group_symop_operation_xyz
'x,y,z'
loop_
_atom_site_label
_atom_site_type_symbol
_atom_site_fract_x
_atom_site_fract_y
_atom_site_fract_z
Na1 Na 0.122 0.878 0.750
Na2 Na 0.878 0.122 0.250
Zr1 Zr 0.371 0.629 0.560
Zr2 Zr 0.371 0.629 0.940
Zr3 Zr 0.629 0.371 0.060
Zr4 Zr 0.629 0.371 0.440
Cu1 Cu 0.151 0.849 0.250
Cu2 Cu 0.849 0.151 0.750
S1 S 0.000 0.000 0.000
S2 S 0.000 0.000 0.500
S3 S 0.273 0.727 0.115
S4 S 0.273 0.727 0.385
S5 S 0.453 0.547 0.750
S6 S 0.547 0.453 0.250
S7 S 0.727 0.273 0.615
S8 S 0.727 0.273 0.885
```